Record 1
A plane-wave DFT calculation with GGA-PBE was carried out for a geometry-optimized NpTlH2F8 structure.

a b c (Å): 5.022 5.032 8.450
angles (deg): 98.22 93.03 108.29
Space group P-1 (No. 2)
One atom of each set of equivalent atoms:
Np1 0.000 0.000 0.000
Tl1 0.000 0.000 0.500
H1 0.460 0.665 0.685
F1 0.221 0.195 0.826
F2 0.241 0.742 0.995
F3 0.277 0.266 0.207
F4 0.308 0.634 0.599

**DFT total energy**: -67.0 eV for the cell shown

---

Record 2
A plane-wave DFT calculation with GGA-PBE was carried out for a geometry-optimized La7Pr12Sc structure.

a b c (Å): 15.3537 15.3537 10.5119
angles (deg): 90.00 90.00 120.00
Space group R-3 (No. 148, hexagonal axes)
One atom of each set of equivalent atoms:
La1 0.0000 0.0000 0.0000
La2 0.0655 0.8209 0.4235
Pr1 0.0406 0.7913 0.0617
Pr2 0.0434 0.8523 0.7467
Sc1 0.0000 0.0000 0.5000

**Energy relative to the elements**: 0.13 eV per atom
**Energy above the most stable polymorph in this dataset**: 0.000 eV per atom
**DFT total energy**: -286.9 eV for the cell shown

---

Record 3
A plane-wave DFT calculation with GGA-PBE was carried out for a geometry-optimized CeSmSc structure.

a b c (Å): 3.461 3.461 14.388
angles (deg): 90.00 90.00 90.00
Space group I4mm (No. 107)
One atom of each set of equivalent atoms:
Ce1 0.000 0.000 0.000
Sm1 0.000 0.000 0.671
Sc1 0.000 0.000 0.345

**Energy relative to the elements**: 0.09 eV per atom
**Energy above the most stable polymorph in this dataset**: 0.005 eV per atom
**DFT total energy**: -33.4 eV for the cell shown

---

Record 4
A plane-wave DFT calculation with GGA-PBE was carried out for a geometry-optimized Hf6GaRh5 structure.

a b c (Å): 4.651 6.536 13.974
angles (deg): 90.00 90.00 90.00
Space group Immm (No. 71)
One atom of each set of equivalent atoms:
Hf1 0.000 0.243 0.000
Hf2 0.000 0.253 0.331
Ga1 0.000 0.000 0.500
Rh1 0.000 0.000 0.172
Rh2 0.000 0.500 0.156
Rh3 0.000 0.500 0.500

**Energy relative to the elements**: -0.77 eV per atom
**DFT total energy**: -217.4 eV for the cell shown

---

Record 5
A plane-wave DFT calculation with GGA-PBE was carried out for a geometry-optimized NdYMgPt structure.

a b c (Å): 7.323 7.323 7.323
angles (deg): 90.00 90.00 90.00
Space group F-43m (No. 216)
One atom of each set of equivalent atoms:
Nd1 0.000 0.000 0.000
Y1 0.000 0.000 0.500
Mg1 0.250 0.250 0.750
Pt1 0.250 0.250 0.250

**Energy relative to the elements**: -0.54 eV per atom
**DFT total energy**: -84.1 eV for the cell shown

---

Record 6
A plane-wave DFT calculation with GGA-PBE was carried out for a geometry-optimized WCl structure.

a b c (Å): 7.114 2.933 9.595
angles (deg): 90.00 109.80 90.00
Space group C2/m (No. 12)
One atom of each set of equivalent atoms:
W1 0.086 0.000 0.411
Cl1 0.049 0.500 0.800

**Energy above the most stable polymorph in this dataset**: 0.124 eV per atom
**DFT total energy**: -60.2 eV for the cell shown